# GGA-PBE ZnAuO3, relaxed
data_ZnAuO3
_chemical_formula_sum 'Zn1 Au1 O3'
_cell_length_a 3.8689
_cell_length_b 3.8689
_cell_length_c 3.8689
_cell_angle_alpha 90.00
_cell_angle_beta 90.00
_cell_angle_gamma 90.00
_space_group_name_H-M_alt 'P 1'
_space_group_IT_number 1
loop_
_space_group_symop_operation_xyz
'x,y,z'
loop_
_atom_site_label
_atom_site_type_symbol
_atom_site_fract_x
_atom_site_fract_y
_atom_site_fract_z
_atom_site_occupancy
O1 O 0.0000 0.0000 0.5000 1
O2 O 0.0000 0.5000 0.0000 1
O3 O 0.5000 0.0000 0.0000 1
Au1 Au 0.5000 0.5000 0.5000 1
Zn1 Zn 0.0000 0.0000 0.0000 1
# Magnetic moment ... 2.6 μB/cell
# Electronic total energy ... -3.605 eV/atom
# Fermi-level density of states ... 4.33 states/eV/cell

=====

# GGA-PBE Zr2ZnAuO, relaxed
data_Zr2ZnAuO
_chemical_formula_sum 'Zr2 Zn1 Au1 O1'
_cell_length_a 4.3732
_cell_length_b 4.4163
_cell_length_c 4.3732
_cell_angle_alpha 90.00
_cell_angle_beta 90.00
_cell_angle_gamma 90.00
_space_group_name_H-M_alt 'P 1'
_space_group_IT_number 1
loop_
_space_group_symop_operation_xyz
'x,y,z'
loop_
_atom_site_label
_atom_site_type_symbol
_atom_site_fract_x
_atom_site_fract_y
_atom_site_fract_z
_atom_site_occupancy
Zr1 Zr 0.0000 0.0000 0.5000 1
Zr2 Zr 0.5000 0.0000 0.0000 1
O1 O 0.0000 0.0000 0.0000 1
Au1 Au 0.5000 0.5000 0.5000 1
Zn1 Zn 0.0000 0.5000 0.0000 1
# Magnetic moment ... 0.0 μB/cell
# Electronic total energy ... -6.332 eV/atom
# Fermi-level density of states ... 2.49 states/eV/cell

=====

# GGA-PBE Zr4AuO, relaxed
data_Zr4AuO
_chemical_formula_sum 'Zr8 Au2 O2'
_cell_length_a 5.7176
_cell_length_b 6.5725
_cell_length_c 7.5630
_cell_angle_alpha 109.46
_cell_angle_beta 105.16
_cell_angle_gamma 105.55
_space_group_name_H-M_alt 'P 1'
_space_group_IT_number 1
loop_
_space_group_symop_operation_xyz
'x,y,z'
loop_
_atom_site_label
_atom_site_type_symbol
_atom_site_fract_x
_atom_site_fract_y
_atom_site_fract_z
_atom_site_occupancy
O1 O 0.1865 0.9365 0.8729 1
O2 O 0.8135 0.0635 0.1271 1
Zr1 Zr 0.2013 0.3477 0.4204 1
Zr2 Zr 0.9603 0.1639 0.8961 1
Zr3 Zr 0.4359 0.7322 0.8961 1
Zr4 Zr 0.0397 0.8361 0.1039 1
Zr5 Zr 0.2810 0.9274 0.5796 1
Zr6 Zr 0.7987 0.6523 0.5796 1
Zr7 Zr 0.7190 0.0726 0.4204 1
Zr8 Zr 0.5641 0.2678 0.1039 1
Au1 Au 0.3616 0.6116 0.2233 1
Au2 Au 0.6384 0.3884 0.7767 1
# Magnetic moment ... 0.0 μB/cell
# Electronic total energy ... -7.955 eV/atom
# Fermi-level density of states ... 12.03 states/eV/cell

=====

# GGA-PBE ZrAu3O, relaxed
data_ZrAu3O
_chemical_formula_sum 'Zr1 Au3 O1'
_cell_length_a 4.5107
_cell_length_b 4.5107
_cell_length_c 4.5107
_cell_angle_alpha 90.00
_cell_angle_beta 90.00
_cell_angle_gamma 90.00
_space_group_name_H-M_alt 'P 1'
_space_group_IT_number 1
loop_
_space_group_symop_operation_xyz
'x,y,z'
loop_
_atom_site_label
_atom_site_type_symbol
_atom_site_fract_x
_atom_site_fract_y
_atom_site_fract_z
_atom_site_occupancy
Au1 Au 0.0000 0.0000 0.5000 1
Au2 Au 0.5000 0.0000 0.0000 1
Au3 Au 0.0000 0.5000 0.0000 1
O1 O 0.0000 0.0000 0.0000 1
Zr1 Zr 0.5000 0.5000 0.5000 1
# Magnetic moment ... 1.4 μB/cell
# Electronic total energy ... -4.320 eV/atom
# Fermi-level density of states ... 5.49 states/eV/cell